# 1
## Ni2SbMo (meta-GGA SCAN)

Data for a crystal of Ni2SbMo relaxed with PBEsol.

Results
- M_tot (Bohr magnetons per cell) = 0.000
- ΔE_f (raw) (eV per atom) = 0.241

a b c (Å): 3.1093 3.1093 5.8066
angles (deg): 90.00 90.00 90.00
Last column: nearest neighbours and their distance in Å.
Fractional positions:
Ni1 0.0000 0.0000 0.0000  4 Ni 2.52, 4 Mo 2.58, 1 Sb 2.63
Ni2 0.5000 0.5000 0.2132  4 Ni 2.52, 1 Mo 2.59, 4 Sb 2.60
Sb1 0.0000 0.0000 0.4536  5 Ni 2.60-2.63, 4 Mo 2.86
Mo1 0.5000 0.5000 0.7678  5 Ni 2.58-2.59, 4 Sb 2.86

=====

# 2
## Ni6SbMo (meta-GGA SCAN)

Data for a crystal of Ni6SbMo relaxed with PBEsol.

Results
- M_tot (Bohr magnetons per cell) = 0.004
- ΔE_f (raw) (eV per atom) = 0.009

a b c (Å): 6.2834 6.2834 10.2933
angles (deg): 90.00 90.00 109.39
Last column: nearest neighbours and their distance in Å.
Fractional positions:
Ni1 0.0000 0.0000 0.0000  4 Mo 2.52-2.59, 8 Ni 2.52
Ni2 0.0000 0.0000 0.5000  8 Ni 2.56, 2 Mo 2.56, 2 Sb 2.57
Ni3 0.1170 0.3713 0.1201  8 Ni 2.47-2.61, 3 Mo 2.48-2.58, 1 Sb 2.62
Ni4 0.1170 0.3713 0.8799  8 Ni 2.47-2.61, 3 Mo 2.48-2.58, 1 Sb 2.62
Ni5 0.1189 0.3660 0.3689  1 Mo 2.48, 8 Ni 2.53-2.70, 3 Sb 2.57-2.64
Ni6 0.1189 0.3660 0.6311  1 Mo 2.48, 8 Ni 2.53-2.70, 3 Sb 2.57-2.64
Ni7 0.2455 0.7545 0.2404  2 Mo 2.47-2.52, 8 Ni 2.48-2.66, 2 Sb 2.61-2.67
Ni8 0.2455 0.7545 0.7596  2 Mo 2.47-2.52, 8 Ni 2.48-2.66, 2 Sb 2.61-2.67
Ni9 0.3660 0.1189 0.3689  1 Mo 2.48, 8 Ni 2.53-2.70, 3 Sb 2.57-2.64
Ni10 0.3660 0.1189 0.6311  1 Mo 2.48, 8 Ni 2.53-2.70, 3 Sb 2.57-2.64
Ni11 0.3713 0.1170 0.1201  8 Ni 2.47-2.61, 3 Mo 2.48-2.58, 1 Sb 2.62
Ni12 0.3713 0.1170 0.8799  8 Ni 2.47-2.61, 3 Mo 2.48-2.58, 1 Sb 2.62
Ni13 0.5000 0.5000 0.0000  2 Sb 2.55, 8 Ni 2.58, 2 Mo 2.61
Ni14 0.5000 0.5000 0.5000  4 Sb 2.56-2.60, 8 Ni 2.63
Ni15 0.6287 0.8830 0.1201  8 Ni 2.47-2.61, 3 Mo 2.48-2.58, 1 Sb 2.62
Ni16 0.6287 0.8830 0.8799  8 Ni 2.47-2.61, 3 Mo 2.48-2.58, 1 Sb 2.62
Ni17 0.6340 0.8811 0.3689  1 Mo 2.48, 8 Ni 2.53-2.70, 3 Sb 2.57-2.64
Ni18 0.6340 0.8811 0.6311  1 Mo 2.48, 8 Ni 2.53-2.70, 3 Sb 2.57-2.64
Ni19 0.7545 0.2455 0.2404  2 Mo 2.47-2.52, 8 Ni 2.48-2.66, 2 Sb 2.61-2.67
Ni20 0.7545 0.2455 0.7596  2 Mo 2.47-2.52, 8 Ni 2.48-2.66, 2 Sb 2.61-2.67
Ni21 0.8811 0.6340 0.3689  1 Mo 2.48, 8 Ni 2.53-2.70, 3 Sb 2.57-2.64
Ni22 0.8811 0.6340 0.6311  1 Mo 2.48, 8 Ni 2.53-2.70, 3 Sb 2.57-2.64
Ni23 0.8830 0.6287 0.1201  8 Ni 2.47-2.61, 3 Mo 2.48-2.58, 1 Sb 2.62
Ni24 0.8830 0.6287 0.8799  8 Ni 2.47-2.61, 3 Mo 2.48-2.58, 1 Sb 2.62
Sb1 0.2506 0.7494 0.5000  12 Ni 2.56-2.67
Sb2 0.5000 0.5000 0.2477  12 Ni 2.55-2.62
Sb3 0.5000 0.5000 0.7523  12 Ni 2.55-2.62
Sb4 0.7494 0.2506 0.5000  12 Ni 2.56-2.67
Mo1 0.0000 0.0000 0.2516  12 Ni 2.48-2.59
Mo2 0.0000 0.0000 0.7484  12 Ni 2.48-2.59
Mo3 0.2459 0.7541 0.0000  12 Ni 2.47-2.61
Mo4 0.7541 0.2459 0.0000  12 Ni 2.47-2.61

=====

# 3
## NiSbMo2 (meta-GGA SCAN)

Data for a crystal of NiSbMo2 relaxed with PBEsol.

Results
- M_tot (Bohr magnetons per cell) = 0.000
- ΔE_f (raw) (eV per atom) = 0.200

a b c (Å): 4.8852 4.8852 4.2855
angles (deg): 104.39 104.39 38.43
Last column: nearest neighbours and their distance in Å.
Fractional positions:
Ni1 0.0000 0.0000 0.0000  4 Sb 2.68, 6 Mo 2.74-2.77
Sb1 0.5000 0.5000 0.5000  4 Ni 2.68, 6 Mo 2.81-2.83
Mo1 0.2542 0.2542 0.7712  4 Mo 2.55-2.81, 3 Ni 2.74-2.77, 3 Sb 2.81-2.83
Mo2 0.7458 0.7458 0.2288  4 Mo 2.55-2.81, 3 Ni 2.74-2.77, 3 Sb 2.81-2.83

=====

# 4
## Ni2SbMo (meta-GGA SCAN)

Data for a crystal of Ni2SbMo relaxed with PBEsol.

Results
- M_tot (Bohr magnetons per cell) = 0.000
- ΔE_f (raw) (eV per atom) = 0.525

a b c (Å): 7.9582 7.9582 7.9582
angles (deg): 21.52 21.52 21.52
Last column: nearest neighbours and their distance in Å.
Fractional positions:
Ni1 0.0000 0.0000 0.0000  3 Ni 2.47, 3 Mo 2.49
Ni2 0.2569 0.2569 0.2569  3 Ni 2.47, 3 Sb 2.55
Sb1 0.5093 0.5093 0.5093  3 Ni 2.55
Mo1 0.7440 0.7440 0.7440  3 Ni 2.49

=====

# 5
## ScNiMo2 (meta-GGA SCAN)

Data for a crystal of ScNiMo2 relaxed with PBEsol.

Results
- M_tot (Bohr magnetons per cell) = 0.000
- formation energy (meV/atom) = 49
- offset from the most stable computed form (meV per atom) = 0

a b c (Å): 3.6524 3.6524 4.5622
angles (deg): 90.00 90.00 90.00
Last column: nearest neighbours and their distance in Å.
Fractional positions:
Sc1 0.0000 0.0000 0.0000  4 Ni 2.58
Ni1 0.5000 0.5000 0.0000  4 Sc 2.58
Mo1 0.0000 0.5000 0.5000  4 Mo 2.58
Mo2 0.5000 0.0000 0.5000  4 Mo 2.58

=====

# 6
## Sc2NiMo (meta-GGA SCAN)

Data for a crystal of Sc2NiMo relaxed with PBEsol.

Results
- M_tot (Bohr magnetons per cell) = 0.001
- formation energy (meV/atom) = -58

a b c (Å): 3.1629 3.1629 6.5560
angles (deg): 90.00 90.00 90.00
Last column: nearest neighbours and their distance in Å.
Fractional positions:
Sc1 0.0000 0.0000 0.2355  4 Ni 2.72, 4 Mo 2.83
Sc2 0.0000 0.0000 0.7645  4 Ni 2.72, 4 Mo 2.83
Ni1 0.5000 0.5000 0.0000  8 Sc 2.72
Mo1 0.5000 0.5000 0.5000  8 Sc 2.83, 4 Mo 3.16

=====

What did we get for ρ? Answer: 9.91, 9.87, 10.08, 9.37, 8.06, 6.19 g cm⁻³, in the order shown.